a.
DFT (PBEsol) results for a relaxed structure of YP2PdO.

Results
SG: P4/mmm (123)
ρ: 5.29 g/cm3
crystal system: tetragonal
volume: 17.15 A^3/atom

Structure (POSCAR):
```
YP2PdO
1.0
4.6508 0.0000 0.0000
0.0000 4.6508 0.0000
0.0000 0.0000 3.9652
Y P Pd O
1 2 1 1
Direct
0.0000 0.0000 0.0000 Y
0.0000 0.5000 0.5000 P
0.5000 0.0000 0.5000 P
0.5000 0.5000 0.5000 Pd
0.5000 0.5000 0.0000 O
```

=====

b.
DFT (PBEsol) results for a relaxed structure of YP2PdO.

Results
SG: P4/mmm (123)
ρ: 4.10 g/cm3
crystal system: tetragonal
volume: 22.16 A^3/atom

Structure (POSCAR):
```
YP2PdO
1.0
5.2598 0.0000 0.0000
0.0000 5.2598 0.0000
0.0000 0.0000 4.0045
Y P Pd O
1 2 1 1
Direct
0.0000 0.0000 0.0000 Y
0.0000 0.5000 0.0000 P
0.5000 0.0000 0.0000 P
0.5000 0.5000 0.5000 Pd
0.0000 0.0000 0.5000 O
```

=====

Calculated relative energies: a 0.0; b 65.0, given in kJ/mol of atoms